BeTcPb2: relaxed, PBE.

Output
- Calculated total energy: -18.51 eV/cell

The structure in POSCAR format:
```
BeTcPb2
1.0
3.551 0.000 0.000
0.000 3.521 0.000
-0.946 0.000 6.207
Be Tc Pb
1 1 2
Direct
0.000 0.000 0.000 Be
0.000 0.000 0.500 Tc
0.449 0.500 0.247 Pb
0.551 0.500 0.753 Pb
```

---

BeTcPb2: relaxed, PBE.

Output
- Calculated total energy: -17.95 eV/cell

The structure in POSCAR format:
```
BeTcPb2
1.0
-2.222 2.222 3.978
2.222 -2.222 3.978
2.222 2.222 -3.978
Be Tc Pb
1 1 2
Direct
0.000 0.000 0.000 Be
0.500 0.500 0.000 Tc
0.250 0.750 0.500 Pb
0.750 0.250 0.500 Pb
```

---

BeTc2Pb: relaxed, PBE.

Output
- Calculated total energy: -25.72 eV/cell

The structure in POSCAR format:
```
BeTc2Pb
1.0
-2.060 2.060 3.668
2.060 -2.060 3.668
2.060 2.060 -3.668
Be Tc Pb
1 2 1
Direct
0.000 0.000 0.000 Be
0.500 0.500 0.000 Tc
0.750 0.250 0.500 Tc
0.250 0.750 0.500 Pb
```

---

Be3TcPb: relaxed, PBE.

Output
- Calculated total energy: -21.46 eV/cell

The structure in POSCAR format:
```
Be3TcPb
1.0
4.357 0.000 0.000
0.000 4.357 0.000
0.000 0.000 4.357
Be Tc Pb
3 1 1
Direct
0.000 0.000 0.500 Be
0.000 0.500 0.000 Be
0.500 0.000 0.000 Be
0.000 0.000 0.000 Tc
0.500 0.500 0.500 Pb
```